Cs2SrBi | PBE | optimized geometry

Output
N(E_F)   0.606 states/eV/atom
Mass density   4.4 g cm⁻³
Formation energy   -18 kJ/mol of formula units
Spin magnetization   0.00 Bohr magnetons per cell

a = 9.435 Å, b = 9.435 Å, c = 9.435 Å
α = 90.00°, β = 90.00°, γ = 90.00°
Space group Fm-3m (No. 225)
Symmetry-distinct sites (fractional):
Cs 0.250 0.250 0.250 (multiplicity 8)
Sr 0.000 0.000 0.000 (multiplicity 4)
Bi 0.000 0.000 0.500 (multiplicity 4)